1.
Below is a relaxed Nb2TlCl crystal, with properties calculated at the PBE-GGA level.

Unit cell a=4.7508 b=4.7508 c=4.7508 alpha=60.00 beta=60.00 gamma=60.00
Last column: nearest neighbours and their distance in Å.
Atoms (fractional coordinates):
Tl: 0.5000 0.5000 0.5000  8 Nb 2.91
Nb: 0.2500 0.2500 0.2500  4 Tl 2.91, 4 Cl 2.91
Nb: 0.7500 0.7500 0.7500  4 Cl 2.91, 4 Tl 2.91
Cl: 0.0000 0.0000 0.0000  8 Nb 2.91

Properties
Crystal system   cubic
VASP energy   -22.28 eV/f.u.

---

2.
Below is a relaxed NbTlCl6 crystal, with properties calculated at the PBE-GGA level.

Unit cell a=6.9164 b=6.9164 c=7.4739 alpha=62.44 beta=62.44 gamma=60.00
Last column: nearest neighbours and their distance in Å.
Atoms (fractional coordinates):
Nb: 0.0000 0.0000 0.0000  6 Cl 2.38
Tl: 0.5000 0.5000 0.5000  12 Cl 3.89
Cl: 0.9108 0.9108 0.7815  1 Nb 2.38
Cl: 0.3969 0.9108 0.7815  1 Nb 2.38
Cl: 0.0892 0.6031 0.2185  1 Nb 2.38
Cl: 0.6031 0.0892 0.2185  1 Nb 2.38
Cl: 0.0892 0.0892 0.2185  1 Nb 2.38
Cl: 0.9108 0.3969 0.7815  1 Nb 2.38

Properties
Crystal system   trigonal
VASP energy   -32.85 eV/f.u.

---

3.
Below is a relaxed NbTlCl6 crystal, with properties calculated at the PBE-GGA level.

Unit cell a=7.0402 b=7.0402 c=10.9360 alpha=90.39 beta=90.39 gamma=72.08
Last column: nearest neighbours and their distance in Å.
Atoms (fractional coordinates):
Nb: 0.5000 0.0000 0.5000  6 Cl 2.37-2.41
Nb: 0.0000 0.5000 0.0000  6 Cl 2.37-2.41
Tl: 0.0151 0.9849 0.7500  8 Cl 3.26-3.42
Tl: 0.9849 0.0151 0.2500  8 Cl 3.26-3.42
Cl: 0.4158 0.7367 0.5974  1 Nb 2.37
Cl: 0.5842 0.2633 0.4026  1 Nb 2.37
Cl: 0.2633 0.5842 0.9026  1 Nb 2.37
Cl: 0.7367 0.4158 0.0974  1 Nb 2.37
Cl: 0.5370 0.1381 0.6949  1 Nb 2.38
Cl: 0.4630 0.8619 0.3051  1 Nb 2.38
Cl: 0.8619 0.4630 0.8051  1 Nb 2.38
Cl: 0.1381 0.5370 0.1949  1 Nb 2.38
Cl: 0.8050 0.8471 0.0022  1 Nb 2.41
Cl: 0.1950 0.1529 0.9978  1 Nb 2.41
Cl: 0.1529 0.1950 0.4978  1 Nb 2.41
Cl: 0.8471 0.8050 0.5022  1 Nb 2.41

Properties
Crystal system   monoclinic
VASP energy   -33.23 eV/f.u.

---

4.
Below is a relaxed Nb2TlCl crystal, with properties calculated at the PBE-GGA level.

Unit cell a=4.0606 b=4.0606 c=10.8501 alpha=79.22 beta=79.22 gamma=90.00
Last column: nearest neighbours and their distance in Å.
Atoms (fractional coordinates):
Tl: 0.0000 0.0000 0.0000  4 Cl 2.87, 4 Nb 2.97
Tl: 0.7500 0.2500 0.5000  4 Cl 2.87, 4 Nb 2.97
Nb: 0.6346 0.1250 0.2500  4 Nb 2.82-2.93, 2 Tl 2.97, 2 Cl 3.00
Nb: 0.1154 0.6250 0.2500  4 Nb 2.82-2.93, 2 Tl 2.97, 2 Cl 3.00
Nb: 0.3750 0.3654 0.7500  4 Nb 2.82-2.93, 2 Tl 2.97, 2 Cl 3.00
Nb: 0.8750 0.8846 0.7500  4 Nb 2.82-2.93, 2 Tl 2.97, 2 Cl 3.00
Cl: 0.5000 0.5000 0.0000  4 Tl 2.87, 4 Nb 3.00
Cl: 0.2500 0.7500 0.5000  4 Tl 2.87, 4 Nb 3.00

Properties
Crystal system   tetragonal
VASP energy   -22.11 eV/f.u.

---

What is the VASP energy in the second record? -32.85 eV/f.u.

---

Among the records above, which one has the lowest VASP energy? number 3

---

Among the records above, which one has the lowest VASP energy? number 3